# 1
Density functional theory data (meta-GGA SCAN) for a crystal of RbZnS2N relaxed with PBEsol.

Cell: 5.9760 5.9760 5.3756 Å, 90.00 90.00 90.00°
With the nearest neighbours (Å) after each atom.
Space group P4/mmm (No. 123)
Unique sites:
Rb: 0.0000 0.0000 0.0000  2 N 2.69, 4 S 2.99
Zn: 0.5000 0.5000 0.5000  8 S 4.02, 4 N 4.23
S: 0.0000 0.5000 0.0000  2 Rb 2.99
N: 0.0000 0.0000 0.5000  2 Rb 2.69

Computed properties:
total magnetic moment	6.00	Bohr magnetons per cell
raw total energy	-54.6	eV per cell

---

# 2
Density functional theory data (meta-GGA SCAN) for a crystal of AlCd2Pb relaxed with PBEsol.

Cell: 4.3226 4.3226 9.7612 Å, 90.00 90.00 90.00°
With the nearest neighbours (Å) after each atom.
Space group I4/mmm (No. 139)
Unique sites:
Al: 0.0000 0.0000 0.0000  4 Pb 3.06, 8 Cd 3.26
Cd: 0.0000 0.5000 0.2500  4 Cd 3.06, 4 Pb 3.26, 4 Al 3.26
Pb: 0.0000 0.0000 0.5000  4 Al 3.06, 8 Cd 3.26

Computed properties:
energy above the lowest structure with this stoichiometry	0.049	eV/atom
total magnetic moment	0.00	Bohr magnetons per cell
energy of formation from the pure elements	0.1798	eV per atom
raw total energy	-287.3	eV per cell

---

# 3
Density functional theory data (meta-GGA SCAN) for a crystal of TaTcAg2 relaxed with PBEsol.

Cell: 3.6971 3.7942 8.9969 Å, 90.00 90.00 90.00°
With the nearest neighbours (Å) after each atom.
Space group Immm (No. 71)
Unique sites:
Ta: 0.0000 0.0000 0.0000  4 Tc 2.65, 8 Ag 2.91-2.94
Tc: 0.0000 0.0000 0.5000  4 Ta 2.65, 8 Ag 2.91-2.94
Ag: 0.0000 0.5000 0.2499  4 Ag 2.65, 4 Tc 2.91-2.94, 4 Ta 2.91-2.94

Computed properties:
energy above the lowest structure with this stoichiometry	0.000	eV/atom
total magnetic moment	0.00	Bohr magnetons per cell
energy of formation from the pure elements	0.2830	eV per atom
raw total energy	-326.5	eV per cell

---

# 4
Density functional theory data (meta-GGA SCAN) for a crystal of DyYAg2 relaxed with PBEsol.

Cell: 7.1437 7.1437 7.1437 Å, 90.00 90.00 90.00°
With the nearest neighbours (Å) after each atom.
Space group Fm-3m (No. 225)
Unique sites:
Dy: 0.0000 0.0000 0.0000  8 Ag 3.09
Y: 0.0000 0.0000 0.5000  8 Ag 3.09
Ag: 0.2500 0.2500 0.2500  4 Dy 3.09, 4 Y 3.09

Computed properties:
total magnetic moment	0.00	Bohr magnetons per cell
energy of formation from the pure elements	-0.4009	eV per atom
raw total energy	-559.9	eV per cell

---

# 5
Density functional theory data (meta-GGA SCAN) for a crystal of Co2PRh relaxed with PBEsol.

Cell: 2.6774 3.6305 4.8215 Å, 90.00 105.06 90.00°
With the nearest neighbours (Å) after each atom.
Space group P2/m (No. 10)
Unique sites:
Co: 0.1358 0.0000 0.2739  2 P 2.21, 1 Co 2.47
P: 0.5000 0.5000 0.5000  4 Co 2.21, 2 Rh 2.41
Rh: 0.5000 0.5000 0.0000  2 P 2.41, 8 Co 2.58-2.60, 2 Rh 2.68

Computed properties:
total magnetic moment	3.10	Bohr magnetons per cell
energy of formation from the pure elements	-0.1041	eV per atom
raw total energy	-79.2	eV per cell

---

# 6
Density functional theory data (meta-GGA SCAN) for a crystal of Mn3PtS relaxed with PBEsol.

Cell: 4.7772 4.7772 4.7772 Å, 90.00 90.00 90.00°
With the nearest neighbours (Å) after each atom.
Space group Pm-3m (No. 221)
Unique sites:
Mn: 0.0000 0.0000 0.5000  2 Pt 2.39
Pt: 0.0000 0.0000 0.0000  6 Mn 2.39
S: 0.5000 0.5000 0.5000  12 Mn 3.38

Computed properties:
total magnetic moment	13.92	Bohr magnetons per cell
raw total energy	-133.6	eV per cell

---

# 7
Density functional theory data (meta-GGA SCAN) for a crystal of KZrSc2 relaxed with PBEsol.

Cell: 3.2056 6.1114 11.2756 Å, 90.00 90.00 90.00°
With the nearest neighbours (Å) after each atom.
Space group Immm (No. 71)
Unique sites:
K: 0.0000 0.0000 0.0000  2 K 3.21, 4 Zr 3.45, 4 Sc 3.51
Zr: 0.0000 0.0000 0.5000  4 Sc 2.98, 2 Zr 3.21
Sc: 0.0000 0.5000 0.2227  2 Zr 2.98, 2 Sc 3.21

Computed properties:
total magnetic moment	0.00	Bohr magnetons per cell
energy of formation from the pure elements	0.6995	eV per atom
raw total energy	-129.4	eV per cell

---

# 8
Density functional theory data (meta-GGA SCAN) for a crystal of Sr2CoRe relaxed with PBEsol.

Cell: 6.9850 6.9850 6.9850 Å, 90.00 90.00 90.00°
With the nearest neighbours (Å) after each atom.
Space group F-43m (No. 216)
Unique sites:
Sr: 0.0000 0.0000 0.0000  4 Co 3.02, 4 Sr 3.02
Sr: 0.2500 0.2500 0.2500  4 Re 3.02, 4 Sr 3.02
Co: 0.2500 0.2500 0.7500  4 Re 3.02, 4 Sr 3.02
Re: 0.0000 0.0000 0.5000  4 Sr 3.02, 4 Co 3.02

Computed properties:
energy above the lowest structure with this stoichiometry	0.620	eV/atom
total magnetic moment	15.08	Bohr magnetons per cell
energy of formation from the pure elements	1.2745	eV per atom
raw total energy	-511.4	eV per cell